A relaxed ScGaCoAg crystal. Source: OQMD, functional PBE.

a b c (Å): 4.4673 4.4673 4.4673
angles (deg): 60.00 60.00 60.00
With the nearest neighbours (Å) after each atom.
Element x y z (fractional)
Ag 0.2500 0.2500 0.2500  4 Sc 2.74, 4 Ga 2.74
Co 0.7500 0.7500 0.7500  4 Ga 2.74, 4 Sc 2.74
Ga 0.0000 0.0000 0.0000  4 Co 2.74, 4 Ag 2.74
Sc 0.5000 0.5000 0.5000  4 Ag 2.74, 4 Co 2.74

Summary:
Symmetry: No. 216
Distance to the lowest polymorph of the same formula in eV/f.u.: 0.000
Crystal system: cubic



A relaxed TmZrW crystal. Source: OQMD, functional PBE.

a b c (Å): 4.6912 4.6912 4.6912
angles (deg): 60.00 60.00 60.00
With the nearest neighbours (Å) after each atom.
Element x y z (fractional)
Tm 0.2500 0.2500 0.2500  4 W 2.87
W 0.0000 0.0000 0.0000  4 Zr 2.87, 4 Tm 2.87
Zr 0.7500 0.7500 0.7500  4 W 2.87

Summary:
Symmetry: No. 216
Distance to the lowest polymorph of the same formula in eV/f.u.: 0.000
Crystal system: cubic
E_form in eV per atom: 0.6846



A relaxed NaLuSiNi crystal. Source: OQMD, functional PBE.

a b c (Å): 4.5725 4.5725 4.5725
angles (deg): 60.00 60.00 60.00
With the nearest neighbours (Å) after each atom.
Element x y z (fractional)
Lu 0.0000 0.0000 0.0000  4 Na 2.80, 4 Si 2.80
Na 0.7500 0.7500 0.7500  4 Ni 2.80, 4 Lu 2.80
Ni 0.5000 0.5000 0.5000  4 Na 2.80, 4 Si 2.80
Si 0.2500 0.2500 0.2500  4 Lu 2.80, 4 Ni 2.80

Summary:
Symmetry: No. 216
Distance to the lowest polymorph of the same formula in eV/f.u.: 0.495
Crystal system: cubic



A relaxed PaNbAu crystal. Source: OQMD, functional PBE.

a b c (Å): 4.6118 4.6118 4.6118
angles (deg): 60.00 60.00 60.00
With the nearest neighbours (Å) after each atom.
Element x y z (fractional)
Au 0.0000 0.0000 0.0000  4 Nb 2.82
Nb 0.7500 0.7500 0.7500  4 Au 2.82, 4 Pa 2.82
Pa 0.5000 0.5000 0.5000  4 Nb 2.82

Summary:
Symmetry: No. 216
Distance to the lowest polymorph of the same formula in eV/f.u.: 0.000
Crystal system: cubic
E_form in eV per atom: 0.4814



A relaxed Ir2PdPb crystal. Source: OQMD, functional PBE.

a b c (Å): 4.5839 4.5839 4.5839
angles (deg): 60.00 60.00 60.00
With the nearest neighbours (Å) after each atom.
Element x y z (fractional)
Ir 0.0000 0.0000 0.0000  4 Ir 2.81, 4 Pd 2.81
Ir 0.7500 0.7500 0.7500  4 Ir 2.81, 4 Pb 2.81
Pb 0.5000 0.5000 0.5000  4 Pd 2.81, 4 Ir 2.81
Pd 0.2500 0.2500 0.2500  4 Pb 2.81, 4 Ir 2.81

Summary:
Symmetry: No. 216
Calculated total energy in eV per atom: -6.226
Crystal system: cubic



A relaxed LuNiBPd crystal. Source: OQMD, functional PBE.

a b c (Å): 4.3022 4.3022 4.3022
angles (deg): 60.00 60.00 60.00
With the nearest neighbours (Å) after each atom.
Element x y z (fractional)
B 0.0000 0.0000 0.0000  4 Ni 2.63, 4 Pd 2.63
Lu 0.5000 0.5000 0.5000  4 Pd 2.63, 4 Ni 2.63
Ni 0.7500 0.7500 0.7500  4 B 2.63, 4 Lu 2.63
Pd 0.2500 0.2500 0.2500  4 Lu 2.63, 4 B 2.63

Summary:
Symmetry: No. 216
Distance to the lowest polymorph of the same formula in eV/f.u.: 0.263
Crystal system: cubic



A relaxed Rb2MoAs2 crystal. Source: OQMD, functional PBE.

a b c (Å): 8.9976 8.9976 5.3790
angles (deg): 90.00 90.00 134.31
With the nearest neighbours (Å) after each atom.
Element x y z (fractional)
As 0.0675 0.2935 0.2500  1 As 2.52, 2 Mo 2.63
As 0.7065 0.9325 0.2500  1 As 2.52, 2 Mo 2.63
As 0.2935 0.0675 0.7500  1 As 2.52, 2 Mo 2.63
As 0.9325 0.7065 0.7500  1 As 2.52, 2 Mo 2.63
Mo 0.0000 0.0000 0.0000  4 As 2.63, 2 Mo 2.69
Mo 0.0000 0.0000 0.5000  4 As 2.63, 2 Mo 2.69
Rb 0.5815 0.4185 0.2500  6 As 3.53-3.92, 2 Rb 3.81
Rb 0.2182 0.7818 0.2500  6 As 3.45-3.58
Rb 0.7818 0.2182 0.7500  6 As 3.45-3.58
Rb 0.4185 0.5815 0.7500  6 As 3.53-3.92, 2 Rb 3.81

Summary:
Symmetry: No. 63
Calculated total energy in eV per atom: -4.532
Crystal system: orthorhombic



A relaxed YErH2I4 crystal. Source: OQMD, functional PBE.

a b c (Å): 3.9823 3.9823 16.3427
angles (deg): 90.00 90.00 120.00
With the nearest neighbours (Å) after each atom.
Element x y z (fractional)
Er 0.0000 0.0000 0.0000  3 H 2.30
H 0.3333 0.6667 0.0000  3 Er 2.30
H 0.6667 0.3333 0.5000  3 Y 2.30
I 0.6667 0.3333 0.1284  3 H 3.11, 3 Er 3.11
I 0.3333 0.6667 0.3696  3 H 3.14, 3 Y 3.14
I 0.3333 0.6667 0.6304  3 H 3.14, 3 Y 3.14
I 0.6667 0.3333 0.8716  3 H 3.11, 3 Er 3.11
Y 0.0000 0.0000 0.5000  3 H 2.30

Summary:
Symmetry: No. 187
Calculated total energy in eV per atom: -4.168
Crystal system: hexagonal